The following is a PBE calculation of HgTeCl6 after structural relaxation, from the Alexandria database.

a = 6.966 Å, b = 12.224 Å, c = 6.890 Å
α = 90.00°, β = 99.14°, γ = 90.00°
Space group C2/m (No. 12)
Symmetry-distinct sites (fractional):
Hg 0.000 0.000 0.000
Te 0.000 0.000 0.500
Cl 0.146 0.144 0.290
Cl 0.204 0.500 0.223

Properties
* crystal system: monoclinic
* formation energy without anion corrections: -4.25 eV/f.u.
* E_tot: -2.346 eV/atom

The following is a PBE calculation of Mg5Ga4 after structural relaxation, from the Alexandria database.

a = 10.002 Å, b = 4.250 Å, c = 9.511 Å
α = 90.00°, β = 113.73°, γ = 90.00°
Space group C2/m (No. 12)
Symmetry-distinct sites (fractional):
Mg 0.000 0.000 0.000
Mg 0.099 0.000 0.392
Mg 0.248 0.000 0.836
Ga 0.048 0.500 0.842
Ga 0.127 0.500 0.614

Properties
* crystal system: monoclinic
* E_tot: -2.353 eV/atom

The following is a PBE calculation of NdSm4Er3 after structural relaxation, from the Alexandria database.

a = 26.051 Å, b = 5.715 Å, c = 3.597 Å
α = 90.00°, β = 90.11°, γ = 90.00°
Space group C2/m (No. 12)
Symmetry-distinct sites (fractional):
Nd 0.000 0.000 0.000
Sm 0.105 0.000 0.501
Sm 0.224 0.000 0.499
Er 0.000 0.500 0.500
Er 0.153 0.500 0.000

Properties
* crystal system: monoclinic
* E_tot: -4.449 eV/atom